[1]
# Li3PrO3 GGA-PBE relaxed
# total magnetic moment	0.000	μB per formula unit
# raw formation energy	-15.917	eV per formula unit
# symmetry	R-3
data_Li3PrO3
_space_group_name_H-M_alt 'P 1'
_space_group_IT_number 1
_cell_length_a 6.0440
_cell_length_b 6.0440
_cell_length_c 6.5569
_cell_angle_alpha 62.56
_cell_angle_beta 62.56
_cell_angle_gamma 60.00
loop_
_space_group_symop_operation_xyz
'x,y,z'
loop_
_atom_site_label
_atom_site_type_symbol
_atom_site_fract_x
_atom_site_fract_y
_atom_site_fract_z
Li1 Li 0.4022 0.8246 0.6196
Li2 Li 0.8246 0.1537 0.6196
Li3 Li 0.1537 0.4022 0.6196
Li4 Li 0.8463 0.5978 0.3804
Li5 Li 0.1754 0.8463 0.3804
Li6 Li 0.5978 0.1754 0.3804
Pr1 Pr 0.3294 0.3294 0.0118
Pr2 Pr 0.6706 0.6706 0.9882
O1 O 0.2801 0.5394 0.2675
O2 O 0.9130 0.2801 0.2675
O3 O 0.5394 0.9130 0.2675
O4 O 0.4606 0.0870 0.7325
O5 O 0.0870 0.7199 0.7325
O6 O 0.7199 0.4606 0.7325

***

[2]
# LiPr2O3 GGA-PBE relaxed
# ΔE to the lowest computed polymorph	0.030	eV/atom
# total magnetic moment	0.000	μB per formula unit
# raw formation energy	-16.309	eV per formula unit
# symmetry	Pnma
data_LiPr2O3
_space_group_name_H-M_alt 'P 1'
_space_group_IT_number 1
_cell_length_a 3.4886
_cell_length_b 7.0295
_cell_length_c 13.4577
_cell_angle_alpha 90.00
_cell_angle_beta 90.00
_cell_angle_gamma 90.00
loop_
_space_group_symop_operation_xyz
'x,y,z'
loop_
_atom_site_label
_atom_site_type_symbol
_atom_site_fract_x
_atom_site_fract_y
_atom_site_fract_z
Li1 Li 0.2500 0.3970 0.6221
Li2 Li 0.7500 0.6030 0.3779
Li3 Li 0.7500 0.1030 0.1221
Li4 Li 0.2500 0.8970 0.8779
Pr1 Pr 0.2500 0.2804 0.9536
Pr2 Pr 0.7500 0.7196 0.0464
Pr3 Pr 0.7500 0.2196 0.4536
Pr4 Pr 0.2500 0.7804 0.5464
Pr5 Pr 0.7500 0.0989 0.7201
Pr6 Pr 0.2500 0.9011 0.2799
Pr7 Pr 0.2500 0.4011 0.2201
Pr8 Pr 0.7500 0.5989 0.7799
O1 O 0.2500 0.3409 0.7674
O2 O 0.7500 0.6591 0.2326
O3 O 0.7500 0.1591 0.2674
O4 O 0.2500 0.8409 0.7326
O5 O 0.7500 0.0347 0.9002
O6 O 0.2500 0.9653 0.0998
O7 O 0.2500 0.4653 0.4002
O8 O 0.7500 0.5347 0.5998
O9 O 0.2500 0.1371 0.5777
O10 O 0.7500 0.8629 0.4223
O11 O 0.7500 0.3629 0.0777
O12 O 0.2500 0.6371 0.9223

***

[3]
# LiPr2O3 GGA-PBE relaxed
# ΔE to the lowest computed polymorph	0.000	eV/atom
# total magnetic moment	0.000	μB per formula unit
# raw formation energy	-16.489	eV per formula unit
# symmetry	Immm
data_LiPr2O3
_space_group_name_H-M_alt 'P 1'
_space_group_IT_number 1
_cell_length_a 3.4415
_cell_length_b 3.7405
_cell_length_c 7.0072
_cell_angle_alpha 105.48
_cell_angle_beta 104.22
_cell_angle_gamma 90.00
loop_
_space_group_symop_operation_xyz
'x,y,z'
loop_
_atom_site_label
_atom_site_type_symbol
_atom_site_fract_x
_atom_site_fract_y
_atom_site_fract_z
Li1 Li 0.0000 0.0000 0.0000
Pr1 Pr 0.6402 0.6402 0.2803
Pr2 Pr 0.3598 0.3598 0.7197
O1 O 0.0000 0.5000 0.0000
O2 O 0.8282 0.8282 0.6565
O3 O 0.1718 0.1718 0.3435

***

[4]
# LiPrO3 GGA-PBE relaxed
# total magnetic moment	2.001	μB per formula unit
# raw formation energy	-9.398	eV per formula unit
# symmetry	Pm-3m
data_LiPrO3
_space_group_name_H-M_alt 'P 1'
_space_group_IT_number 1
_cell_length_a 3.7909
_cell_length_b 3.7909
_cell_length_c 3.7909
_cell_angle_alpha 90.00
_cell_angle_beta 90.00
_cell_angle_gamma 90.00
loop_
_space_group_symop_operation_xyz
'x,y,z'
loop_
_atom_site_label
_atom_site_type_symbol
_atom_site_fract_x
_atom_site_fract_y
_atom_site_fract_z
Li1 Li 0.5000 0.5000 0.5000
Pr1 Pr 0.0000 0.0000 0.0000
O1 O 0.5000 0.5000 0.0000
O2 O 0.5000 0.0000 0.5000
O3 O 0.0000 0.5000 0.5000

***

[5]
# LiPr2O GGA-PBE relaxed
# total magnetic moment	0.000	μB per formula unit
# raw formation energy	-4.203	eV per formula unit
# symmetry	R-3m
data_LiPr2O
_space_group_name_H-M_alt 'P 1'
_space_group_IT_number 1
_cell_length_a 3.6560
_cell_length_b 3.6560
_cell_length_c 9.6065
_cell_angle_alpha 79.03
_cell_angle_beta 79.03
_cell_angle_gamma 60.00
loop_
_space_group_symop_operation_xyz
'x,y,z'
loop_
_atom_site_label
_atom_site_type_symbol
_atom_site_fract_x
_atom_site_fract_y
_atom_site_fract_z
Pr1 Pr 0.1175 0.1175 0.6474
Pr2 Pr 0.8825 0.8825 0.3526
O1 O 0.5000 0.5000 0.5000
Li1 Li 0.0000 0.0000 0.0000

***

[6]
# LiPr3O5 GGA-PBE relaxed
# total magnetic moment	0.000	μB per formula unit
# raw formation energy	-26.414	eV per formula unit
# symmetry	I4/mcm
data_LiPr3O5
_space_group_name_H-M_alt 'P 1'
_space_group_IT_number 1
_cell_length_a 6.6335
_cell_length_b 6.6335
_cell_length_c 7.2733
_cell_angle_alpha 117.13
_cell_angle_beta 117.13
_cell_angle_gamma 90.00
loop_
_space_group_symop_operation_xyz
'x,y,z'
loop_
_atom_site_label
_atom_site_type_symbol
_atom_site_fract_x
_atom_site_fract_y
_atom_site_fract_z
Li1 Li 0.7500 0.2500 0.5000
Li2 Li 0.2500 0.7500 0.5000
Pr1 Pr 0.6646 0.1646 0.0000
Pr2 Pr 0.3354 0.8354 0.0000
Pr3 Pr 0.8354 0.6646 0.0000
Pr4 Pr 0.1646 0.3354 0.0000
Pr5 Pr 0.2500 0.2500 0.5000
Pr6 Pr 0.7500 0.7500 0.5000
O1 O 0.0145 0.5145 0.7164
O2 O 0.7018 0.2018 0.7164
O3 O 0.2018 0.0145 0.7164
O4 O 0.5145 0.7018 0.7164
O5 O 0.9855 0.4855 0.2836
O6 O 0.2982 0.7982 0.2836
O7 O 0.7982 0.9855 0.2836
O8 O 0.4855 0.2982 0.2836
O9 O 0.5000 0.5000 0.0000
O10 O 0.0000 0.0000 0.0000